Entry 1:
# PrUCo2, relaxed, DFT PBE
data_PrUCo2
_space_group_name_H-M_alt 'R -3 m'
_space_group_IT_number 166
_space_group_name_Hall '-R 3 2"'
_cell_length_a 3.6216
_cell_length_b 3.6216
_cell_length_c 21.1107
_cell_angle_alpha 90.00
_cell_angle_beta 90.00
_cell_angle_gamma 120.00
loop_
_atom_site_label
_atom_site_type_symbol
_atom_site_fract_x
_atom_site_fract_y
_atom_site_fract_z
Pr1 Pr 0.0000 0.0000 0.0000
U1 U 0.0000 0.0000 0.5000
Co1 Co 0.0000 0.0000 0.2360
# Final energy   -7.55 eV per atom
# Energy of formation   0.019 eV per atom
# D(E_F)   4.0 states/eV/f.u.
# Excess energy over the best structure of this formula in the dataset   63.4 meV/atom
# Theoretical density   10.32 g/cm3
# Calculated volume   239.8 Å³/cell

Entry 2:
# ScCrGe2I, relaxed, DFT PBE
data_ScCrGe2I
_space_group_name_H-M_alt 'P 4/m m m'
_space_group_IT_number 123
_space_group_name_Hall '-P 4 2'
_cell_length_a 5.2970
_cell_length_b 5.2970
_cell_length_c 4.6386
_cell_angle_alpha 90.00
_cell_angle_beta 90.00
_cell_angle_gamma 90.00
loop_
_atom_site_label
_atom_site_type_symbol
_atom_site_fract_x
_atom_site_fract_y
_atom_site_fract_z
Sc1 Sc 0.0000 0.0000 0.0000
Cr1 Cr 0.0000 0.0000 0.5000
Ge1 Ge 0.0000 0.5000 0.0000
I1 I 0.5000 0.5000 0.5000
# Final energy   -4.23 eV per atom
# D(E_F)   8.3 states/eV/f.u.
# Theoretical density   4.71 g/cm3
# Calculated volume   130.1 Å³/cell

Entry 3:
# Ti6CoRu5, relaxed, DFT PBE
data_Ti6CoRu5
_space_group_name_H-M_alt 'I m m m'
_space_group_IT_number 71
_space_group_name_Hall '-I 2 2'
_cell_length_a 4.3472
_cell_length_b 6.1334
_cell_length_c 12.9856
_cell_angle_alpha 90.00
_cell_angle_beta 90.00
_cell_angle_gamma 90.00
loop_
_atom_site_label
_atom_site_type_symbol
_atom_site_fract_x
_atom_site_fract_y
_atom_site_fract_z
Ti1 Ti 0.0000 0.2475 0.0000
Ti2 Ti 0.0000 0.2513 0.3345
Co1 Co 0.0000 0.5000 0.5000
Ru1 Ru 0.0000 0.0000 0.1655
Ru2 Ru 0.0000 0.0000 0.5000
Ru3 Ru 0.0000 0.5000 0.1666
# Final energy   -9.09 eV per atom
# Energy of formation   -0.689 eV per atom
# D(E_F)   5.6 states/eV/f.u.
# Theoretical density   8.17 g/cm3
# Calculated volume   346.2 Å³/cell

Q: What is the final energy in the first record?
A: -7.55 eV per atom

Q: What is the formula in the first record?
A: PrUCo2